Entry 1:
# La4Pm2Er7, relaxed, DFT PBE
data_La4Pm2Er7
_space_group_name_H-M_alt 'P -1'
_space_group_IT_number 2
_cell_length_a 5.635
_cell_length_b 8.976
_cell_length_c 9.204
_cell_angle_alpha 97.43
_cell_angle_beta 90.02
_cell_angle_gamma 108.29
loop_
_space_group_symop_operation_xyz
'x,y,z'
'-x,-y,-z'
loop_
_atom_site_label
_atom_site_type_symbol
_atom_site_fract_x
_atom_site_fract_y
_atom_site_fract_z
La1 La 0.048 0.096 0.233
La2 La 0.123 0.248 0.638
Pm1 Pm 0.414 0.830 0.120
Er1 Er 0.201 0.401 0.020
Er2 Er 0.269 0.537 0.392
Er3 Er 0.330 0.662 0.759
Er4 Er 0.500 0.000 0.500
# **Calculated volume**: 33.69 Å³/atom
# **ΔE_f**: 73 meV per atom
# **Total moment**: 0.00 μB per formula unit

Entry 2:
# KInHg2Bi, relaxed, DFT PBE
data_KInHg2Bi
_space_group_name_H-M_alt 'I m m 2'
_space_group_IT_number 44
_cell_length_a 4.871
_cell_length_b 5.169
_cell_length_c 13.070
_cell_angle_alpha 90.00
_cell_angle_beta 90.00
_cell_angle_gamma 90.00
loop_
_space_group_symop_operation_xyz
'x,y,z'
'-x,-y,z'
'-x,y,z'
'x,-y,z'
'x+1/2,y+1/2,z+1/2'
'-x+1/2,-y+1/2,z+1/2'
'-x+1/2,y+1/2,z+1/2'
'x+1/2,-y+1/2,z+1/2'
loop_
_atom_site_label
_atom_site_type_symbol
_atom_site_fract_x
_atom_site_fract_y
_atom_site_fract_z
K1 K 0.000 0.000 0.000
In1 In 0.000 0.500 0.735
Hg1 Hg 0.000 0.000 0.614
Hg2 Hg 0.000 0.500 0.247
Bi1 Bi 0.000 0.000 0.386
# **Calculated volume**: 32.91 Å³/atom
# **ΔE_f**: -184 meV per atom
# **ΔE to the lowest computed polymorph**: 0 meV per atom
# **Total moment**: 0.00 μB per formula unit